Below is a relaxed Sr2CrCuRu crystal, with properties calculated at the PBE-GGA level.

a b c (Å): 5.603 5.603 4.503
angles (deg): 90.00 90.00 90.00
Fractional coordinates of all 5 atoms:
Sr1 0.000 0.500 0.000
Sr2 0.500 0.000 0.000
Cr1 0.000 0.000 0.500
Cu1 0.000 0.000 0.000
Ru1 0.500 0.500 0.500

Output
calculated density	4.602	g/cm³
energy of formation	128.0	kJ/mol of atoms
raw total energy	-0.2900	Ry per atom